## P
# Os3Au5

A geometry-optimized Os3Au5 structure (PBE, Alexandria).

Structure (CIF):
```
data_Os3Au5
_cell_length_a 7.9379
_cell_length_b 7.9379
_cell_length_c 5.0498
_cell_angle_alpha 90.00
_cell_angle_beta 90.00
_cell_angle_gamma 120.00
_space_group_name_H-M_alt 'P 63/m c m'
_space_group_IT_number 193
_space_group_name_Hall '-P 6c 2'
loop_
_atom_site_label
_atom_site_type_symbol
_atom_site_fract_x
_atom_site_fract_y
_atom_site_fract_z
Os1 Os 0.0000 0.4186 0.2500
Au1 Au 0.0000 0.2205 0.7500
Au2 Au 0.3333 0.6667 0.0000
```

=====

## Q
# Os3Au5

A geometry-optimized Os3Au5 structure (PBE, Alexandria).

Structure (CIF):
```
data_Os3Au5
_cell_length_a 4.157
_cell_length_b 12.273
_cell_length_c 11.222
_cell_angle_alpha 90.00
_cell_angle_beta 90.11
_cell_angle_gamma 90.00
_space_group_name_H-M_alt 'C 1 2/m 1'
_space_group_IT_number 12
loop_
_space_group_symop_operation_xyz
'x,y,z'
'-x,-y,-z'
'-x,y,-z'
'x,-y,z'
'x+1/2,y+1/2,z'
'-x+1/2,-y+1/2,-z'
'-x+1/2,y+1/2,-z'
'x+1/2,-y+1/2,z'
loop_
_atom_site_label
_atom_site_type_symbol
_atom_site_fract_x
_atom_site_fract_y
_atom_site_fract_z
Os1 Os 0.000 0.000 0.110
Os2 Os 0.000 0.184 0.000
Os3 Os 0.000 0.304 0.500
Au1 Au 0.001 0.151 0.325
Au2 Au 0.001 0.363 0.157
Au3 Au 0.001 0.500 0.376
```

=====

Referenced to the most stable arrangement, the calculated values in meV per atom are P 299; Q 0.

=====

## P
# OsAu4

A geometry-optimized OsAu4 structure (PBE, Alexandria).

Structure (CIF):
```
data_OsAu4
_cell_length_a 5.026
_cell_length_b 5.026
_cell_length_c 5.026
_cell_angle_alpha 90.00
_cell_angle_beta 90.00
_cell_angle_gamma 90.00
_space_group_name_H-M_alt 'P m -3 m'
_space_group_IT_number 221
_space_group_name_Hall '-P 4 2 3'
loop_
_atom_site_label
_atom_site_type_symbol
_atom_site_fract_x
_atom_site_fract_y
_atom_site_fract_z
Os1 Os 0.000 0.000 0.000
Au1 Au 0.000 0.000 0.500
Au2 Au 0.500 0.500 0.500
```

=====

## Q
# OsAu4

A geometry-optimized OsAu4 structure (PBE, Alexandria).

Structure (CIF):
```
data_OsAu4
_cell_length_a 3.724
_cell_length_b 3.724
_cell_length_c 14.191
_cell_angle_alpha 90.00
_cell_angle_beta 90.00
_cell_angle_gamma 90.00
_space_group_name_H-M_alt 'I 4/m m m'
_space_group_IT_number 139
_space_group_name_Hall '-I 4 2'
loop_
_atom_site_label
_atom_site_type_symbol
_atom_site_fract_x
_atom_site_fract_y
_atom_site_fract_z
Os1 Os 0.000 0.000 0.000
Au1 Au 0.000 0.000 0.406
Au2 Au 0.000 0.500 0.250
```

=====

## R
# OsAu4

A geometry-optimized OsAu4 structure (PBE, Alexandria).

Structure (CIF):
```
data_OsAu4
_cell_length_a 6.455
_cell_length_b 6.455
_cell_length_c 4.161
_cell_angle_alpha 90.00
_cell_angle_beta 90.00
_cell_angle_gamma 90.00
_space_group_name_H-M_alt 'I 4/m'
_space_group_IT_number 87
_space_group_name_Hall '-I 4'
loop_
_atom_site_label
_atom_site_type_symbol
_atom_site_fract_x
_atom_site_fract_y
_atom_site_fract_z
Os1 Os 0.000 0.000 0.000
Au1 Au 0.105 0.704 0.500
```

=====

Referenced to the most stable arrangement, the calculated values in meV per atom are P 877; Q 389; R 0.

=====

## P
# Os4Au

A geometry-optimized Os4Au structure (PBE, Alexandria).

Structure (CIF):
```
data_Os4Au
_cell_length_a 3.811
_cell_length_b 3.811
_cell_length_c 11.669
_cell_angle_alpha 90.00
_cell_angle_beta 90.00
_cell_angle_gamma 90.00
_space_group_name_H-M_alt 'I 4/m m m'
_space_group_IT_number 139
_space_group_name_Hall '-I 4 2'
loop_
_atom_site_label
_atom_site_type_symbol
_atom_site_fract_x
_atom_site_fract_y
_atom_site_fract_z
Os1 Os 0.000 0.000 0.105
Os2 Os 0.000 0.500 0.250
Au1 Au 0.000 0.000 0.500
```

=====

## Q
# Os4Au

A geometry-optimized Os4Au structure (PBE, Alexandria).

Structure (CIF):
```
data_Os4Au
_cell_length_a 6.188
_cell_length_b 6.188
_cell_length_c 3.900
_cell_angle_alpha 90.00
_cell_angle_beta 90.00
_cell_angle_gamma 90.00
_space_group_name_H-M_alt 'I 4/m'
_space_group_IT_number 87
_space_group_name_Hall '-I 4'
loop_
_atom_site_label
_atom_site_type_symbol
_atom_site_fract_x
_atom_site_fract_y
_atom_site_fract_z
Os1 Os 0.085 0.696 0.000
Au1 Au 0.000 0.000 0.500
```

=====

Referenced to the most stable arrangement, the calculated values in meV per atom are P 268; Q 0.

=====

## P
# POs3Au

A geometry-optimized POs3Au structure (PBE, Alexandria).

Structure (CIF):
```
data_POs3Au
_cell_length_a 4.373
_cell_length_b 4.373
_cell_length_c 4.373
_cell_angle_alpha 90.00
_cell_angle_beta 90.00
_cell_angle_gamma 90.00
_space_group_name_H-M_alt 'P m -3 m'
_space_group_IT_number 221
_space_group_name_Hall '-P 4 2 3'
loop_
_atom_site_label
_atom_site_type_symbol
_atom_site_fract_x
_atom_site_fract_y
_atom_site_fract_z
P1 P 0.000 0.000 0.000
Os1 Os 0.000 0.000 0.500
Au1 Au 0.500 0.500 0.500
```

=====

## Q
# POs3Au

A geometry-optimized POs3Au structure (PBE, Alexandria).

Structure (CIF):
```
data_POs3Au
_cell_length_a 4.875
_cell_length_b 4.875
_cell_length_c 4.875
_cell_angle_alpha 90.00
_cell_angle_beta 90.00
_cell_angle_gamma 90.00
_space_group_name_H-M_alt 'P m -3 m'
_space_group_IT_number 221
_space_group_name_Hall '-P 4 2 3'
loop_
_atom_site_label
_atom_site_type_symbol
_atom_site_fract_x
_atom_site_fract_y
_atom_site_fract_z
P1 P 0.000 0.000 0.000
Os1 Os 0.000 0.500 0.500
Au1 Au 0.500 0.500 0.500
```

=====

Referenced to the most stable arrangement, the calculated values in meV per atom are P 0; Q 2188.

=====

## P
# POsAu3

A geometry-optimized POsAu3 structure (PBE, Alexandria).

Structure (CIF):
```
data_POsAu3
_cell_length_a 4.997
_cell_length_b 4.997
_cell_length_c 4.997
_cell_angle_alpha 90.00
_cell_angle_beta 90.00
_cell_angle_gamma 90.00
_space_group_name_H-M_alt 'P m -3 m'
_space_group_IT_number 221
_space_group_name_Hall '-P 4 2 3'
loop_
_atom_site_label
_atom_site_type_symbol
_atom_site_fract_x
_atom_site_fract_y
_atom_site_fract_z
P1 P 0.000 0.000 0.000
Os1 Os 0.500 0.500 0.500
Au1 Au 0.000 0.500 0.500
```

=====

## Q
# POsAu3

A geometry-optimized POsAu3 structure (PBE, Alexandria).

Structure (CIF):
```
data_POsAu3
_cell_length_a 4.618
_cell_length_b 4.618
_cell_length_c 4.618
_cell_angle_alpha 90.00
_cell_angle_beta 90.00
_cell_angle_gamma 90.00
_space_group_name_H-M_alt 'P m -3 m'
_space_group_IT_number 221
_space_group_name_Hall '-P 4 2 3'
loop_
_atom_site_label
_atom_site_type_symbol
_atom_site_fract_x
_atom_site_fract_y
_atom_site_fract_z
P1 P 0.000 0.000 0.000
Os1 Os 0.500 0.500 0.500
Au1 Au 0.000 0.000 0.500
```

=====

Referenced to the most stable arrangement, the calculated values in meV per atom are P 514; Q 0.

=====

## P
# Pa2OsAu

A geometry-optimized Pa2OsAu structure (PBE, Alexandria).

Structure (CIF):
```
data_Pa2OsAu
_cell_length_a 3.0499
_cell_length_b 3.0499
_cell_length_c 32.2069
_cell_angle_alpha 90.00
_cell_angle_beta 90.00
_cell_angle_gamma 120.00
_space_group_name_H-M_alt 'R -3 m'
_space_group_IT_number 166
_space_group_name_Hall '-R 3 2"'
loop_
_atom_site_label
_atom_site_type_symbol
_atom_site_fract_x
_atom_site_fract_y
_atom_site_fract_z
Pa1 Pa 0.0000 0.0000 0.0936
Os1 Os 0.0000 0.0000 0.5000
Au1 Au 0.0000 0.0000 0.0000
```

=====

## Q
# Pa2OsAu

A geometry-optimized Pa2OsAu structure (PBE, Alexandria).

Structure (CIF):
```
data_Pa2OsAu
_cell_length_a 3.136
_cell_length_b 3.136
_cell_length_c 8.575
_cell_angle_alpha 90.00
_cell_angle_beta 90.00
_cell_angle_gamma 90.00
_space_group_name_H-M_alt 'P 4/m m m'
_space_group_IT_number 123
_space_group_name_Hall '-P 4 2'
loop_
_atom_site_label
_atom_site_type_symbol
_atom_site_fract_x
_atom_site_fract_y
_atom_site_fract_z
Pa1 Pa 0.000 0.000 0.228
Os1 Os 0.500 0.500 0.000
Au1 Au 0.500 0.500 0.500
```

=====

## R
# Pa2OsAu

A geometry-optimized Pa2OsAu structure (PBE, Alexandria).

Structure (CIF):
```
data_Pa2OsAu
_cell_length_a 7.028
_cell_length_b 7.028
_cell_length_c 7.028
_cell_angle_alpha 90.00
_cell_angle_beta 90.00
_cell_angle_gamma 90.00
_space_group_name_H-M_alt 'F m -3 m'
_space_group_IT_number 225
_space_group_name_Hall '-F 4 2 3'
loop_
_atom_site_label
_atom_site_type_symbol
_atom_site_fract_x
_atom_site_fract_y
_atom_site_fract_z
Pa1 Pa 0.250 0.250 0.250
Os1 Os 0.000 0.000 0.000
Au1 Au 0.000 0.000 0.500
```

=====

Referenced to the most stable arrangement, the calculated values in meV per atom are P 523; Q 0; R 146.

=====

## P
# Pa2OsAu

A geometry-optimized Pa2OsAu structure (PBE, Alexandria).

Structure (CIF):
```
data_Pa2OsAu
_cell_length_a 4.4118
_cell_length_b 4.4118
_cell_length_c 5.7385
_cell_angle_alpha 90.00
_cell_angle_beta 90.00
_cell_angle_gamma 120.00
_space_group_name_H-M_alt 'P -3 m 1'
_space_group_IT_number 164
_space_group_name_Hall '-P 3 2"'
loop_
_atom_site_label
_atom_site_type_symbol
_atom_site_fract_x
_atom_site_fract_y
_atom_site_fract_z
Pa1 Pa 0.3333 0.6667 0.2799
Os1 Os 0.0000 0.0000 0.5000
Au1 Au 0.0000 0.0000 0.0000
```

=====

## Q
# Pa2OsAu

A geometry-optimized Pa2OsAu structure (PBE, Alexandria).

Structure (CIF):
```
data_Pa2OsAu
_cell_length_a 4.449
_cell_length_b 4.449
_cell_length_c 4.208
_cell_angle_alpha 90.00
_cell_angle_beta 90.00
_cell_angle_gamma 90.00
_space_group_name_H-M_alt 'P 4/m m m'
_space_group_IT_number 123
_space_group_name_Hall '-P 4 2'
loop_
_atom_site_label
_atom_site_type_symbol
_atom_site_fract_x
_atom_site_fract_y
_atom_site_fract_z
Pa1 Pa 0.000 0.500 0.000
Os1 Os 0.000 0.000 0.500
Au1 Au 0.500 0.500 0.500
```

=====

Referenced to the most stable arrangement, the calculated values in meV per atom are P 0; Q 53.

=====

## P
# OsPb2Au

A geometry-optimized OsPb2Au structure (PBE, Alexandria).

Structure (CIF):
```
data_OsPb2Au
_cell_length_a 3.253
_cell_length_b 3.318
_cell_length_c 8.443
_cell_angle_alpha 90.00
_cell_angle_beta 91.32
_cell_angle_gamma 90.00
_space_group_name_H-M_alt 'P 1 2/m 1'
_space_group_IT_number 10
loop_
_space_group_symop_operation_xyz
'x,y,z'
'-x,-y,-z'
'-x,y,-z'
'x,-y,z'
loop_
_atom_site_label
_atom_site_type_symbol
_atom_site_fract_x
_atom_site_fract_y
_atom_site_fract_z
Os1 Os 0.000 0.000 0.000
Pb1 Pb 0.485 0.500 0.792
Au1 Au 0.500 0.000 0.500
```

=====

## Q
# OsPb2Au

A geometry-optimized OsPb2Au structure (PBE, Alexandria).

Structure (CIF):
```
data_OsPb2Au
_cell_length_a 3.372
_cell_length_b 3.372
_cell_length_c 7.676
_cell_angle_alpha 90.00
_cell_angle_beta 90.00
_cell_angle_gamma 90.00
_space_group_name_H-M_alt 'P 4/m m m'
_space_group_IT_number 123
_space_group_name_Hall '-P 4 2'
loop_
_atom_site_label
_atom_site_type_symbol
_atom_site_fract_x
_atom_site_fract_y
_atom_site_fract_z
Os1 Os 0.000 0.000 0.000
Pb1 Pb 0.500 0.500 0.225
Au1 Au 0.000 0.000 0.500
```

=====

## R
# OsPb2Au

A geometry-optimized OsPb2Au structure (PBE, Alexandria).

Structure (CIF):
```
data_OsPb2Au
_cell_length_a 7.010
_cell_length_b 7.010
_cell_length_c 7.010
_cell_angle_alpha 90.00
_cell_angle_beta 90.00
_cell_angle_gamma 90.00
_space_group_name_H-M_alt 'F m -3 m'
_space_group_IT_number 225
_space_group_name_Hall '-F 4 2 3'
loop_
_atom_site_label
_atom_site_type_symbol
_atom_site_fract_x
_atom_site_fract_y
_atom_site_fract_z
Os1 Os 0.000 0.000 0.000
Pb1 Pb 0.250 0.250 0.250
Au1 Au 0.000 0.000 0.500
```

=====

Referenced to the most stable arrangement, the calculated values in meV per atom are P 0; Q 45; R 197.